1.
Computed, not measured: Al2Ag5Au4 after structural relaxation at the PBE level of DFT.

Output
DFT total energy	-3.301	eV per atom
N(E_F)	3.08	states/eV/cell
formation energy	-0.13	eV per atom

Geometry as CIF:
```
data_Al2Ag5Au4
_cell_length_a 7.393
_cell_length_b 2.912
_cell_length_c 9.142
_cell_angle_alpha 90.00
_cell_angle_beta 93.75
_cell_angle_gamma 90.00
_space_group_name_H-M_alt 'P 1 2/m 1'
_space_group_IT_number 10
loop_
_space_group_symop_operation_xyz
'x,y,z'
'-x,-y,-z'
'-x,y,-z'
'x,-y,z'
loop_
_atom_site_label
_atom_site_fract_x
_atom_site_fract_y
_atom_site_fract_z
_atom_site_occupancy
Al1 0.082 0.000 0.147 1
Ag1 0.173 0.000 0.646 1
Ag2 0.465 0.000 0.171 1
Ag3 0.500 0.000 0.500 1
Au1 0.194 0.500 0.369 1
Au2 0.223 0.500 0.935 1
```

2.
Computed, not measured: UTl2Te5 after structural relaxation at the PBE level of DFT.

Output
DFT total energy	-4.133	eV per atom
formation energy (no corrections)	-0.17	eV per atom
N(E_F)	5.87	states/eV/cell

Geometry as CIF:
```
data_UTl2Te5
_cell_length_a 6.073
_cell_length_b 8.310
_cell_length_c 9.091
_cell_angle_alpha 69.19
_cell_angle_beta 71.40
_cell_angle_gamma 71.79
_space_group_name_H-M_alt 'P 1'
_space_group_IT_number 1
loop_
_space_group_symop_operation_xyz
'x,y,z'
loop_
_atom_site_label
_atom_site_fract_x
_atom_site_fract_y
_atom_site_fract_z
_atom_site_occupancy
U1 0.000 0.000 0.000 1
Tl1 0.308 0.134 0.322 1
Tl2 0.824 0.702 0.679 1
Te1 0.084 0.344 0.969 1
Te2 0.192 0.767 0.289 1
Te3 0.231 0.884 0.714 1
Te4 0.613 0.311 0.910 1
Te5 0.709 0.752 0.250 1
```

3.
Computed, not measured: CeIBr2 after structural relaxation at the PBE level of DFT.

Output
DFT total energy	-4.363	eV per atom
E above lowest polymorph	0	kJ/mol of formula units
formation energy (no corrections)	-1.66	eV per atom
N(E_F)	26.97	states/eV/cell

Geometry as CIF:
```
data_CeIBr2
_cell_length_a 4.234
_cell_length_b 14.854
_cell_length_c 9.402
_cell_angle_alpha 90.00
_cell_angle_beta 90.00
_cell_angle_gamma 90.00
_space_group_name_H-M_alt 'C m c m'
_space_group_IT_number 63
_space_group_name_Hall '-C 2c 2'
loop_
_atom_site_label
_atom_site_fract_x
_atom_site_fract_y
_atom_site_fract_z
_atom_site_occupancy
Ce1 0.000 0.241 0.250 1
I1 0.000 0.416 0.750 1
Br1 0.000 0.163 0.570 1
```

4.
Computed, not measured: Li2NiGe2 after structural relaxation at the PBE level of DFT.

Output
DFT total energy	-4.082	eV per atom
N(E_F)	5.16	states/eV/cell
formation energy	-0.31	eV per atom

Geometry as CIF:
```
data_Li2NiGe2
_cell_length_a 5.713
_cell_length_b 10.936
_cell_length_c 5.128
_cell_angle_alpha 90.00
_cell_angle_beta 90.00
_cell_angle_gamma 90.00
_space_group_name_H-M_alt 'I b a m'
_space_group_IT_number 72
_space_group_name_Hall '-I 2 2c'
loop_
_atom_site_label
_atom_site_fract_x
_atom_site_fract_y
_atom_site_fract_z
_atom_site_occupancy
Li1 0.238 0.178 0.000 1
Ni1 0.000 0.000 0.250 1
Ge1 0.181 0.426 0.000 1
```

5.
Computed, not measured: Dy2PtSe after structural relaxation at the PBE level of DFT.

Output
DFT total energy	-6.164	eV per atom
E above lowest polymorph	14	kJ/mol of formula units
formation energy (no corrections)	-1.48	eV per atom
N(E_F)	4.17	states/eV/cell

Geometry as CIF:
```
data_Dy2PtSe
_cell_length_a 6.941
_cell_length_b 4.018
_cell_length_c 7.458
_cell_angle_alpha 90.00
_cell_angle_beta 108.23
_cell_angle_gamma 90.00
_space_group_name_H-M_alt 'C 1 2/m 1'
_space_group_IT_number 12
loop_
_space_group_symop_operation_xyz
'x,y,z'
'-x,-y,-z'
'-x,y,-z'
'x,-y,z'
'x+1/2,y+1/2,z'
'-x+1/2,-y+1/2,-z'
'-x+1/2,y+1/2,-z'
'x+1/2,-y+1/2,z'
loop_
_atom_site_label
_atom_site_fract_x
_atom_site_fract_y
_atom_site_fract_z
_atom_site_occupancy
Dy1 0.243 0.000 0.231 1
Pt1 0.000 0.500 0.000 1
Se1 0.000 0.000 0.500 1
```

6.
Computed, not measured: Cs2AlBi after structural relaxation at the PBE level of DFT.

Output
DFT total energy	-2.349	eV per atom
E above lowest polymorph	0	kJ/mol of formula units
N(E_F)	7.02	states/eV/cell
formation energy	-0.02	eV per atom

Geometry as CIF:
```
data_Cs2AlBi
_cell_length_a 12.511
_cell_length_b 7.201
_cell_length_c 9.309
_cell_angle_alpha 90.00
_cell_angle_beta 102.10
_cell_angle_gamma 90.00
_space_group_name_H-M_alt 'P 1 21/c 1'
_space_group_IT_number 14
loop_
_space_group_symop_operation_xyz
'x,y,z'
'-x,-y,-z'
'-x,y+1/2,-z+1/2'
'x,-y+1/2,z+1/2'
loop_
_atom_site_label
_atom_site_fract_x
_atom_site_fract_y
_atom_site_fract_z
_atom_site_occupancy
Cs1 0.163 0.249 0.156 1
Cs2 0.282 0.749 0.938 1
Al1 0.405 0.248 0.973 1
Bi1 0.500 0.000 0.250 1
```

7.
Computed, not measured: PmTh2Te3 after structural relaxation at the PBE level of DFT.

Output
DFT total energy	-6.003	eV per atom
formation energy (no corrections)	-1.17	eV per atom
N(E_F)	4.83	states/eV/cell

Geometry as CIF:
```
data_PmTh2Te3
_cell_length_a 3.854
_cell_length_b 3.854
_cell_length_c 11.545
_cell_angle_alpha 90.00
_cell_angle_beta 90.00
_cell_angle_gamma 90.00
_space_group_name_H-M_alt 'P 4/m m m'
_space_group_IT_number 123
_space_group_name_Hall '-P 4 2'
loop_
_atom_site_label
_atom_site_fract_x
_atom_site_fract_y
_atom_site_fract_z
_atom_site_occupancy
Pm1 0.000 0.000 0.000 1
Th1 0.000 0.000 0.332 1
Te1 0.500 0.500 0.168 1
Te2 0.500 0.500 0.500 1
```

8.
Computed, not measured: Ba3InC after structural relaxation at the PBE level of DFT.

Output
DFT total energy	-3.268	eV per atom
E above lowest polymorph	0	kJ/mol of formula units
N(E_F)	5.89	states/eV/cell
formation energy	0.28	eV per atom

Geometry as CIF:
```
data_Ba3InC
_cell_length_a 5.767
_cell_length_b 5.767
_cell_length_c 5.767
_cell_angle_alpha 90.00
_cell_angle_beta 90.00
_cell_angle_gamma 90.00
_space_group_name_H-M_alt 'P m -3 m'
_space_group_IT_number 221
_space_group_name_Hall '-P 4 2 3'
loop_
_atom_site_label
_atom_site_fract_x
_atom_site_fract_y
_atom_site_fract_z
_atom_site_occupancy
Ba1 0.000 0.000 0.500 1
In1 0.500 0.500 0.500 1
C1 0.000 0.000 0.000 1
```